A relaxed Tl2CdBr8 crystal. Source: Alexandria, functional PBE-GGA. Values from VASP.

The structure in Quantum ESPRESSO input format:
```
&SYSTEM
  ibrav = 0, nat = 11, ntyp = 3
/
ATOMIC_SPECIES
Tl 204.38 Tl.upf
Cd 112.41 Cd.upf
Br 79.90 Br.upf
ATOMIC_POSITIONS crystal
Tl 0.560 0.850 0.850
Tl 0.440 0.150 0.150
Cd 0.000 0.000 0.000
Br 0.255 0.315 0.816
Br 0.745 0.184 0.685
Br 0.179 0.859 0.859
Br 0.821 0.141 0.141
Br 0.255 0.816 0.315
Br 0.745 0.685 0.184
Br 0.645 0.715 0.715
Br 0.355 0.285 0.285
CELL_PARAMETERS angstrom
6.837 -0.258 0.040
-0.509 8.294 5.165
-0.772 1.975 9.552
```

- Symmetry: C2/m, No. 12
- Offset from the most stable computed form: 0 meV per atom
- Formation energy from raw total energies: -0.56 eV/atom
- Calculated density: 4.08 g/cm³